Entry 1:
Entry from the Open Quantum Materials Database: an optimized crystal structure of RbScCu (PBE-GGA).

Total magnetization in μB/f.u.: 1.2
Energy in eV per atom: -2.249

Cell and atoms, written as CIF:
```
data_RbScCu
_space_group_name_H-M_alt 'F -4 3 m'
_space_group_IT_number 216
_space_group_name_Hall 'F -4 2 3'
_cell_length_a 7.143
_cell_length_b 7.143
_cell_length_c 7.143
_cell_angle_alpha 90.00
_cell_angle_beta 90.00
_cell_angle_gamma 90.00
loop_
_atom_site_label
_atom_site_fract_x
_atom_site_fract_y
_atom_site_fract_z
Rb1 0.000 0.000 0.000
Sc1 0.250 0.250 0.250
Cu1 0.250 0.250 0.750
```

---

Entry 2:
Entry from the Open Quantum Materials Database: an optimized crystal structure of RbScCu (PBE-GGA).

Total magnetization in μB/f.u.: 0.6
Energy in eV per atom: -2.802

Cell and atoms, written as CIF:
```
data_RbScCu
_space_group_name_H-M_alt 'F -4 3 m'
_space_group_IT_number 216
_space_group_name_Hall 'F -4 2 3'
_cell_length_a 7.168
_cell_length_b 7.168
_cell_length_c 7.168
_cell_angle_alpha 90.00
_cell_angle_beta 90.00
_cell_angle_gamma 90.00
loop_
_atom_site_label
_atom_site_fract_x
_atom_site_fract_y
_atom_site_fract_z
Rb1 0.000 0.000 0.000
Sc1 0.000 0.000 0.500
Cu1 0.250 0.250 0.250
```